1.
Compound: Tb2PrY3Se6
Source: Alexandria via LeMat-Bulk
Functional: GGA-PBE
Structure: optimized geometry

* total moment: 0.00 Bohr magnetons per cell
* final energy: -151.45 eV per cell
* calculated volume: 24.71 Å³ per atom
* ΔE_f (raw): -1.7823 eV/atom

Cell and atoms, written as CIF:
```
data_Tb2PrY3Se6
_symmetry_space_group_name_H-M 'C 1 2/m 1'
_symmetry_Int_Tables_number 12
_cell_length_a 7.109
_cell_length_b 12.375
_cell_length_c 7.148
_cell_angle_alpha 90.00
_cell_angle_beta 109.42
_cell_angle_gamma 90.00
loop_
_symmetry_equiv_pos_as_xyz
'x,y,z'
'-x,-y,-z'
'-x,y,-z'
'x,-y,z'
'x+1/2,y+1/2,z'
'-x+1/2,-y+1/2,-z'
'-x+1/2,y+1/2,-z'
'x+1/2,-y+1/2,z'
loop_
_atom_site_label
_atom_site_type_symbol
_atom_site_fract_x
_atom_site_fract_y
_atom_site_fract_z
_atom_site_occupancy
Tb1 Tb 0.000 0.165 0.000 1
Pr1 Pr 0.000 0.500 0.000 1
Y1 Y 0.000 0.000 0.500 1
Y2 Y 0.000 0.340 0.500 1
Se1 Se 0.241 0.000 0.252 1
Se2 Se 0.243 0.172 0.743 1
```

=====

2.
Compound: Sm12Co5Hg
Source: Alexandria via LeMat-Bulk
Functional: GGA-PBE
Structure: optimized geometry

* total moment: 0.00 Bohr magnetons per cell
* final energy: -190.61 eV per cell
* calculated volume: 25.83 Å³ per atom
* energy of formation: -2.84 eV/f.u.

Cell and atoms, written as CIF:
```
data_Sm12Co5Hg
_symmetry_space_group_name_H-M 'I m m m'
_symmetry_Int_Tables_number 71
_symmetry_space_group_name_Hall '-I 2 2'
_cell_length_a 9.618
_cell_length_b 9.747
_cell_length_c 9.920
_cell_angle_alpha 90.00
_cell_angle_beta 90.00
_cell_angle_gamma 90.00
loop_
_atom_site_label
_atom_site_type_symbol
_atom_site_fract_x
_atom_site_fract_y
_atom_site_fract_z
_atom_site_occupancy
Sm1 Sm 0.000 0.192 0.203 1
Sm2 Sm 0.196 0.500 0.183 1
Sm3 Sm 0.204 0.316 0.500 1
Co1 Co 0.000 0.000 0.000 1
Co2 Co 0.000 0.379 0.000 1
Co3 Co 0.000 0.500 0.387 1
Hg1 Hg 0.000 0.000 0.500 1
```

=====

3.
Compound: CsSnHg2Bi
Source: Alexandria via LeMat-Bulk
Functional: GGA-PBE
Structure: optimized geometry

* total moment: 0.00 Bohr magnetons per cell
* final energy: -20.41 eV per cell
* calculated volume: 35.93 Å³ per atom
* offset from the most stable computed form: 0.0 kJ per mole of atoms
* energy of formation: -0.86 eV/f.u.

Cell and atoms, written as CIF:
```
data_CsSnHg2Bi
_symmetry_space_group_name_H-M 'I m m 2'
_symmetry_Int_Tables_number 44
_cell_length_a 5.173
_cell_length_b 5.587
_cell_length_c 12.431
_cell_angle_alpha 90.00
_cell_angle_beta 90.00
_cell_angle_gamma 90.00
loop_
_symmetry_equiv_pos_as_xyz
'x,y,z'
'-x,-y,z'
'-x,y,z'
'x,-y,z'
'x+1/2,y+1/2,z+1/2'
'-x+1/2,-y+1/2,z+1/2'
'-x+1/2,y+1/2,z+1/2'
'x+1/2,-y+1/2,z+1/2'
loop_
_atom_site_label
_atom_site_type_symbol
_atom_site_fract_x
_atom_site_fract_y
_atom_site_fract_z
_atom_site_occupancy
Cs1 Cs 0.000 0.000 0.000 1
Sn1 Sn 0.000 0.500 0.738 1
Hg1 Hg 0.000 0.000 0.630 1
Hg2 Hg 0.000 0.500 0.243 1
Bi1 Bi 0.000 0.000 0.377 1
```

=====

4.
Compound: LiSmCdAu
Source: Alexandria via LeMat-Bulk
Functional: GGA-PBE
Structure: optimized geometry

* total moment: 0.04 Bohr magnetons per cell
* final energy: -50.74 eV per cell
* calculated volume: 21.34 Å³ per atom
* energy of formation: -1.86 eV/f.u.

Cell and atoms, written as CIF:
```
data_LiSmCdAu
_symmetry_space_group_name_H-M 'F -4 3 m'
_symmetry_Int_Tables_number 216
_symmetry_space_group_name_Hall 'F -4 2 3'
_cell_length_a 6.990
_cell_length_b 6.990
_cell_length_c 6.990
_cell_angle_alpha 90.00
_cell_angle_beta 90.00
_cell_angle_gamma 90.00
loop_
_atom_site_label
_atom_site_type_symbol
_atom_site_fract_x
_atom_site_fract_y
_atom_site_fract_z
_atom_site_occupancy
Li1 Li 0.000 0.000 0.000 1
Sm1 Sm 0.250 0.250 0.250 1
Cd1 Cd 0.250 0.250 0.750 1
Au1 Au 0.000 0.000 0.500 1
```

=====

5.
Compound: Na4HCl2
Source: Alexandria via LeMat-Bulk
Functional: GGA-PBE
Structure: optimized geometry

* total moment: 0.00 Bohr magnetons per cell
* final energy: -37.65 eV per cell
* calculated volume: 24.77 Å³ per atom

Cell and atoms, written as CIF:
```
data_Na4HCl2
_symmetry_space_group_name_H-M 'I 4/m m m'
_symmetry_Int_Tables_number 139
_symmetry_space_group_name_Hall '-I 4 2'
_cell_length_a 4.307
_cell_length_b 4.307
_cell_length_c 18.695
_cell_angle_alpha 90.00
_cell_angle_beta 90.00
_cell_angle_gamma 90.00
loop_
_atom_site_label
_atom_site_type_symbol
_atom_site_fract_x
_atom_site_fract_y
_atom_site_fract_z
_atom_site_occupancy
Na1 Na 0.000 0.000 0.169 1
Na2 Na 0.000 0.500 0.000 1
H1 H 0.000 0.000 0.000 1
Cl1 Cl 0.000 0.000 0.398 1
```

=====

6.
Compound: HfFeSn
Source: Alexandria via LeMat-Bulk
Functional: GGA-PBE
Structure: optimized geometry

* total moment: 0.00 Bohr magnetons per cell
* final energy: -22.61 eV per cell
* calculated volume: 17.81 Å³ per atom
* energy of formation: -0.19 eV/f.u.

Cell and atoms, written as CIF:
```
data_HfFeSn
_symmetry_space_group_name_H-M 'P 3 m 1'
_symmetry_Int_Tables_number 156
_cell_length_a 4.4038
_cell_length_b 4.4038
_cell_length_c 3.1818
_cell_angle_alpha 90.00
_cell_angle_beta 90.00
_cell_angle_gamma 120.00
loop_
_symmetry_equiv_pos_as_xyz
'x,y,z'
'-y,x-y,z'
'-x+y,-x,z'
'-y,-x,z'
'-x+y,y,z'
'x,x-y,z'
loop_
_atom_site_label
_atom_site_type_symbol
_atom_site_fract_x
_atom_site_fract_y
_atom_site_fract_z
_atom_site_occupancy
Hf1 Hf 0.0000 0.0000 0.0000 1
Fe1 Fe 0.6667 0.3333 0.5229 1
Sn1 Sn 0.3333 0.6667 0.5031 1
```

=====

7.
Compound: LaSm2Tm
Source: Alexandria via LeMat-Bulk
Functional: GGA-PBE
Structure: optimized geometry

* total moment: 0.00 Bohr magnetons per cell
* final energy: -56.22 eV per cell
* calculated volume: 33.65 Å³ per atom
* offset from the most stable computed form: 0.1 kJ per mole of atoms
* energy of formation: 0.10 eV/f.u.

Cell and atoms, written as CIF:
```
data_LaSm2Tm
_symmetry_space_group_name_H-M 'R 3 m'
_symmetry_Int_Tables_number 160
_symmetry_space_group_name_Hall 'R 3 -2"'
_cell_length_a 3.6244
_cell_length_b 3.6244
_cell_length_c 35.4914
_cell_angle_alpha 90.00
_cell_angle_beta 90.00
_cell_angle_gamma 120.00
loop_
_atom_site_label
_atom_site_type_symbol
_atom_site_fract_x
_atom_site_fract_y
_atom_site_fract_z
_atom_site_occupancy
La1 La 0.0000 0.0000 0.0000 1
Sm1 Sm 0.0000 0.0000 0.5801 1
Sm2 Sm 0.0000 0.0000 0.7530 1
Tm1 Tm 0.0000 0.0000 0.1664 1
```

=====

8.
Compound: Ac3Y
Source: Alexandria via LeMat-Bulk
Functional: GGA-PBE
Structure: optimized geometry

* total moment: 0.00 Bohr magnetons per cell
* final energy: -37.22 eV per cell
* calculated volume: 42.04 Å³ per atom
* energy of formation: 0.18 eV/f.u.

Cell and atoms, written as CIF:
```
data_Ac3Y
_symmetry_space_group_name_H-M 'P 63/m m c'
_symmetry_Int_Tables_number 194
_symmetry_space_group_name_Hall '-P 6c 2c'
_cell_length_a 7.8644
_cell_length_b 7.8644
_cell_length_c 6.2796
_cell_angle_alpha 90.00
_cell_angle_beta 90.00
_cell_angle_gamma 120.00
loop_
_atom_site_label
_atom_site_type_symbol
_atom_site_fract_x
_atom_site_fract_y
_atom_site_fract_z
_atom_site_occupancy
Ac1 Ac 0.1695 0.3391 0.2500 1
Y1 Y 0.3333 0.6667 0.7500 1
```

=====

Copy entry 5 word for word.
Compound: Na4HCl2
Source: Alexandria via LeMat-Bulk
Functional: GGA-PBE
Structure: optimized geometry

* total moment: 0.00 Bohr magnetons per cell
* final energy: -37.65 eV per cell
* calculated volume: 24.77 Å³ per atom

Cell and atoms, written as CIF:
```
data_Na4HCl2
_symmetry_space_group_name_H-M 'I 4/m m m'
_symmetry_Int_Tables_number 139
_symmetry_space_group_name_Hall '-I 4 2'
_cell_length_a 4.307
_cell_length_b 4.307
_cell_length_c 18.695
_cell_angle_alpha 90.00
_cell_angle_beta 90.00
_cell_angle_gamma 90.00
loop_
_atom_site_label
_atom_site_type_symbol
_atom_site_fract_x
_atom_site_fract_y
_atom_site_fract_z
_atom_site_occupancy
Na1 Na 0.000 0.000 0.169 1
Na2 Na 0.000 0.500 0.000 1
H1 H 0.000 0.000 0.000 1
Cl1 Cl 0.000 0.000 0.398 1
```